[1]
Material: HRhF2
Method: DFT, PBE
State: relaxed

Unit cell a=6.116 b=6.116 c=6.116 alpha=24.97 beta=24.97 gamma=24.97
Positions (direct):
H (0.500, 0.500, 0.500)
Rh (0.000, 0.000, 0.000)
F (0.886, 0.886, 0.886)
F (0.114, 0.114, 0.114)

Output
Calculated volume (Å³ per cell): 35.9
Density of states at the Fermi level (states/eV per atom): 0.60
Space-group type: R-3m (166)
Distance to the lowest polymorph of the same formula (eV per atom): 0.254
Calculated total energy (eV/atom): -4.17
Crystal system: trigonal



[2]
Material: CaLa2Te2
Method: DFT, PBE
State: relaxed

Unit cell a=8.722 b=8.722 c=4.254 alpha=90.00 beta=90.00 gamma=90.00
Positions (direct):
Ca (0.000, 0.000, 0.000)
Ca (0.500, 0.500, 0.000)
Te (0.351, 0.851, 0.000)
Te (0.851, 0.649, 0.000)
Te (0.649, 0.149, 0.000)
Te (0.149, 0.351, 0.000)
La (0.151, 0.651, 0.500)
La (0.651, 0.849, 0.500)
La (0.849, 0.349, 0.500)
La (0.349, 0.151, 0.500)

Output
Calculated volume (Å³ per cell): 323.6
Density of states at the Fermi level (states/eV per atom): 1.00
Space-group type: P4/mbm (127)
Formation energy without anion corrections (eV/atom): -1.21
Calculated total energy (eV/atom): -4.83
Crystal system: tetragonal



[3]
Material: PaMnOs
Method: DFT, PBE
State: relaxed

Unit cell a=4.200 b=3.921 c=3.921 alpha=120.00 beta=90.00 gamma=90.00
Positions (direct):
Pa (0.671, 0.333, 0.667)
Os (0.235, 0.667, 0.333)
Mn (0.094, 0.000, 0.000)

Output
Calculated volume (Å³ per cell): 55.9
Density of states at the Fermi level (states/eV per atom): 1.39
Space-group type: P3m1 (156)
Distance to the lowest polymorph of the same formula (eV per atom): 0.262
Calculated total energy (eV/atom): -9.97
Energy of formation (eV per atom): -0.007
Crystal system: trigonal



[4]
Material: NaPH2OF6
Method: DFT, PBE
State: relaxed

Unit cell a=6.197 b=8.116 c=10.901 alpha=90.00 beta=90.00 gamma=90.00
Positions (direct):
Na (0.750, 0.250, 0.249)
Na (0.750, 0.750, 0.251)
Na (0.250, 0.250, 0.749)
Na (0.250, 0.750, 0.751)
P (0.000, 0.000, 0.000)
P (0.500, 0.500, 0.000)
P (0.000, 0.000, 0.500)
P (0.500, 0.500, 0.500)
H (0.070, 0.502, 0.178)
H (0.430, 0.998, 0.178)
H (0.430, 0.002, 0.322)
H (0.070, 0.498, 0.322)
H (0.930, 0.502, 0.678)
H (0.570, 0.998, 0.678)
H (0.570, 0.002, 0.822)
H (0.930, 0.498, 0.822)
O (0.525, 0.000, 0.250)
O (0.975, 0.500, 0.250)
O (0.475, 0.000, 0.750)
O (0.025, 0.500, 0.750)
F (0.238, 0.508, 0.016)
F (0.262, 0.992, 0.016)
F (0.526, 0.648, 0.101)
F (0.974, 0.852, 0.101)
F (0.989, 0.137, 0.110)
F (0.511, 0.363, 0.110)
F (0.511, 0.637, 0.390)
F (0.989, 0.863, 0.390)
F (0.974, 0.148, 0.399)
F (0.526, 0.352, 0.399)
F (0.262, 0.008, 0.484)
F (0.238, 0.492, 0.484)
F (0.762, 0.508, 0.516)
F (0.738, 0.992, 0.516)
F (0.474, 0.648, 0.601)
F (0.026, 0.852, 0.601)
F (0.011, 0.137, 0.610)
F (0.489, 0.363, 0.610)
F (0.489, 0.637, 0.890)
F (0.011, 0.863, 0.890)
F (0.026, 0.148, 0.899)
F (0.474, 0.352, 0.899)
F (0.738, 0.008, 0.984)
F (0.762, 0.492, 0.984)

Output
Calculated volume (Å³ per cell): 548.3
Density of states at the Fermi level (states/eV per atom): 0.00
Space-group type: Pnna (52)
Calculated total energy (eV/atom): -4.96
Crystal system: orthorhombic



[5]
Material: LaTc2RuBr
Method: DFT, PBE
State: relaxed

Unit cell a=4.545 b=5.439 c=4.545 alpha=90.00 beta=90.00 gamma=90.00
Site moments in Bohr magnetons follow the coordinates.
Positions (direct):
Ru (0.500, 0.500, 0.500)  0.85
Tc (0.000, 0.000, 0.500)  -0.11
Tc (0.500, 0.000, 0.000)  -0.20
Br (0.000, 0.000, 0.000)  0.00
La (0.000, 0.500, 0.000)  -0.05

Output
Calculated volume (Å³ per cell): 112.3
Density of states at the Fermi level (states/eV per atom): 1.66
Space-group type: P4/mmm (123)
Formation energy without anion corrections (eV/atom): 1.35
Calculated total energy (eV/atom): -5.97
Crystal system: tetragonal



[6]
Material: CaMgTeN2
Method: DFT, PBE
State: relaxed

Unit cell a=4.347 b=4.347 c=5.883 alpha=90.00 beta=90.00 gamma=90.00
Site moments in Bohr magnetons follow the coordinates.
Positions (direct):
Ca (0.500, 0.500, 0.500)  0.01
Te (0.000, 0.000, 0.500)  0.15
Mg (0.000, 0.000, 0.000)  -0.02
N (0.000, 0.500, 0.000)  1.23
N (0.500, 0.000, 0.000)  1.23

Output
Calculated volume (Å³ per cell): 111.1
Density of states at the Fermi level (states/eV per atom): 0.26
Space-group type: P4/mmm (123)
Distance to the lowest polymorph of the same formula (eV per atom): 0.000
Formation energy without anion corrections (eV/atom): 0.52
Calculated total energy (eV/atom): -4.15
Crystal system: tetragonal



[7]
Material: Th6BiAs2Se3
Method: DFT, PBE
State: relaxed

Unit cell a=4.294 b=8.574 c=9.551 alpha=101.77 beta=102.99 gamma=90.00
Positions (direct):
Th (0.324, 0.908, 0.647)
Th (0.667, 0.580, 0.334)
Th (0.676, 0.092, 0.353)
Th (0.005, 0.274, 0.010)
Th (0.995, 0.726, 0.990)
Th (0.333, 0.420, 0.666)
Bi (0.500, 0.000, 0.000)
As (0.831, 0.666, 0.662)
As (0.169, 0.334, 0.338)
Se (0.500, 0.500, 0.000)
Se (0.840, 0.169, 0.680)
Se (0.160, 0.831, 0.320)

Output
Calculated volume (Å³ per cell): 335.0
Density of states at the Fermi level (states/eV per atom): 0.76
Space-group type: C2/m (12)
Formation energy without anion corrections (eV/atom): -1.32
Calculated total energy (eV/atom): -7.00
Crystal system: monoclinic



[8]
Material: MgTiCd2
Method: DFT, PBE
State: relaxed

Unit cell a=3.074 b=3.074 c=10.230 alpha=80.66 beta=80.66 gamma=59.09
Positions (direct):
Mg (0.669, 0.669, 0.000)
Ti (0.494, 0.494, 0.500)
Cd (0.085, 0.085, 0.744)
Cd (0.251, 0.251, 0.256)

Output
Calculated volume (Å³ per cell): 81.5
Density of states at the Fermi level (states/eV per atom): 0.93
Space-group type: Cm (8)
Calculated total energy (eV/atom): -2.78
Energy of formation (eV per atom): 0.050
Crystal system: monoclinic



[9]
Material: CsP2BrO
Method: DFT, PBE
State: relaxed

Unit cell a=7.052 b=4.585 c=7.052 alpha=90.00 beta=90.00 gamma=90.00
Site moments in Bohr magnetons follow the coordinates.
Positions (direct):
Cs (0.000, 0.000, 0.000)  0.08
P (0.000, 0.000, 0.500)  1.18
P (0.500, 0.000, 0.000)  1.13
O (0.000, 0.500, 0.000)  0.04
Br (0.500, 0.500, 0.500)  -0.24

Output
Calculated volume (Å³ per cell): 228.0
Density of states at the Fermi level (states/eV per atom): 2.06
Space-group type: P4/mmm (123)
Formation energy without anion corrections (eV/atom): 1.39
Calculated total energy (eV/atom): -2.27
Crystal system: tetragonal



[10]
Material: NdMgSi2
Method: DFT, PBE
State: relaxed

Unit cell a=4.444 b=4.444 c=5.640 alpha=66.80 beta=66.80 gamma=60.00
Positions (direct):
Si (0.285, 0.285, 0.145)
Si (0.715, 0.715, 0.855)
Nd (0.500, 0.500, 0.500)
Mg (0.000, 0.000, 0.000)

Output
Calculated volume (Å³ per cell): 85.9
Density of states at the Fermi level (states/eV per atom): 0.56
Space-group type: R-3m (166)
Distance to the lowest polymorph of the same formula (eV per atom): 0.281
Formation energy without anion corrections (eV/atom): -0.25
Calculated total energy (eV/atom): -4.55
Crystal system: trigonal



[11]
Material: TbY2Co
Method: DFT, PBE
State: relaxed

Unit cell a=6.295 b=6.968 c=9.470 alpha=90.00 beta=90.00 gamma=90.00
Positions (direct):
Tb (0.644, 0.545, 0.250)
Tb (0.856, 0.045, 0.250)
Tb (0.356, 0.455, 0.750)
Tb (0.144, 0.955, 0.750)
Y (0.178, 0.673, 0.068)
Y (0.322, 0.173, 0.432)
Y (0.822, 0.327, 0.568)
Y (0.678, 0.827, 0.932)
Y (0.822, 0.327, 0.932)
Y (0.678, 0.827, 0.568)
Y (0.178, 0.673, 0.432)
Y (0.322, 0.173, 0.068)
Co (0.042, 0.386, 0.250)
Co (0.458, 0.886, 0.250)
Co (0.958, 0.614, 0.750)
Co (0.542, 0.114, 0.750)

Output
Calculated volume (Å³ per cell): 415.4
Density of states at the Fermi level (states/eV per atom): 1.24
Space-group type: Pnma (62)
Distance to the lowest polymorph of the same formula (eV per atom): 0.000
Calculated total energy (eV/atom): -6.32
Energy of formation (eV per atom): -0.149
Crystal system: orthorhombic



[12]
Material: Pu2TiTl3Te6
Method: DFT, PBE
State: relaxed

Unit cell a=7.530 b=7.530 c=8.526 alpha=98.48 beta=98.48 gamma=119.83
Site moments in Bohr magnetons follow the coordinates.
Positions (direct):
Pu (0.335, 0.665, 0.000)  5.26
Pu (0.665, 0.335, 0.000)  5.26
Ti (0.000, 0.000, 0.000)  0.77
Tl (0.175, 0.825, 0.500)  -0.01
Tl (0.825, 0.175, 0.500)  -0.01
Tl (0.500, 0.500, 0.500)  -0.01
Te (0.932, 0.622, 0.794)  -0.09
Te (0.762, 0.762, 0.214)  -0.09
Te (0.068, 0.378, 0.206)  -0.09
Te (0.622, 0.932, 0.794)  -0.09
Te (0.238, 0.238, 0.786)  -0.09
Te (0.378, 0.068, 0.206)  -0.09

Output
Calculated volume (Å³ per cell): 400.8
Density of states at the Fermi level (states/eV per atom): 2.31
Space-group type: C2/m (12)
Formation energy without anion corrections (eV/atom): -0.69
Calculated total energy (eV/atom): -5.90
Crystal system: monoclinic